# 1
This record from Alexandria describes an optimized crystal structure of ErPS4. The functional is GGA-PBE.

CIF file:
```
data_ErPS4
_space_group_name_H-M_alt 'C 1 2/m 1'
_space_group_IT_number 12
_cell_length_a 10.6346
_cell_length_b 3.6231
_cell_length_c 6.6677
_cell_angle_alpha 90.00
_cell_angle_beta 107.86
_cell_angle_gamma 90.00
loop_
_space_group_symop_operation_xyz
'x,y,z'
'-x,-y,-z'
'-x,y,-z'
'x,-y,z'
'x+1/2,y+1/2,z'
'-x+1/2,-y+1/2,-z'
'-x+1/2,y+1/2,-z'
'x+1/2,-y+1/2,z'
loop_
_atom_site_label
_atom_site_type_symbol
_atom_site_fract_x
_atom_site_fract_y
_atom_site_fract_z
Er1 Er 0.0000 0.0000 0.0000
P1 P 0.0000 0.5000 0.5000
S1 S 0.1279 0.0000 0.4320
S2 S 0.1294 0.5000 0.8393
```

Calculated values
**Density**: 4.43 g/cm³
**Total energy**: -5.03 eV/atom
**DOS(E_F)**: 3.41 states/eV per cell
**Raw formation energy**: -616 meV/atom

=====

# 2
This record from Alexandria describes an optimized crystal structure of Er6PS5. The functional is GGA-PBE.

CIF file:
```
data_Er6PS5
_space_group_name_H-M_alt 'C 1 2/m 1'
_space_group_IT_number 12
_cell_length_a 6.7182
_cell_length_b 11.6526
_cell_length_c 6.7314
_cell_angle_alpha 90.00
_cell_angle_beta 109.40
_cell_angle_gamma 90.00
loop_
_space_group_symop_operation_xyz
'x,y,z'
'-x,-y,-z'
'-x,y,-z'
'x,-y,z'
'x+1/2,y+1/2,z'
'-x+1/2,-y+1/2,-z'
'-x+1/2,y+1/2,-z'
'x+1/2,-y+1/2,z'
loop_
_atom_site_label
_atom_site_type_symbol
_atom_site_fract_x
_atom_site_fract_y
_atom_site_fract_z
Er1 Er 0.2461 0.0000 0.2545
Er2 Er 0.2459 0.1635 0.7461
P1 P 0.0000 0.0000 0.5000
S1 S 0.0000 0.1680 0.0000
S2 S 0.0000 0.3331 0.5000
S3 S 0.0000 0.5000 0.0000
```

Calculated values
**Density**: 7.98 g/cm³
**Total energy**: -6.38 eV/atom
**DOS(E_F)**: 9.37 states/eV per cell
**Raw formation energy**: -1932 meV/atom

=====

# 3
This record from Alexandria describes an optimized crystal structure of Er8PS6. The functional is GGA-PBE.

CIF file:
```
data_Er8PS6
_space_group_name_H-M_alt 'P -3'
_space_group_IT_number 147
_cell_length_a 9.8446
_cell_length_b 9.8446
_cell_length_c 3.9308
_cell_angle_alpha 90.00
_cell_angle_beta 90.00
_cell_angle_gamma 120.00
loop_
_space_group_symop_operation_xyz
'x,y,z'
'-x,-y,-z'
'-y,x-y,z'
'y,-x+y,-z'
'-x+y,-x,z'
'x-y,x,-z'
loop_
_atom_site_label
_atom_site_type_symbol
_atom_site_fract_x
_atom_site_fract_y
_atom_site_fract_z
Er1 Er 0.0308 0.7121 0.2591
Er2 Er 0.3333 0.6667 0.7465
P1 P 0.0000 0.0000 0.5000
S1 S 0.1323 0.4802 0.2464
```

Calculated values
**Density**: 7.86 g/cm³
**Total energy**: -5.92 eV/atom
**DOS(E_F)**: 6.93 states/eV per cell
**Raw formation energy**: -1472 meV/atom

=====

# 4
This record from Alexandria describes an optimized crystal structure of Er3P2S2. The functional is GGA-PBE.

CIF file:
```
data_Er3P2S2
_space_group_name_H-M_alt 'C 1 2/m 1'
_space_group_IT_number 12
_cell_length_a 14.3847
_cell_length_b 3.9276
_cell_length_c 6.9741
_cell_angle_alpha 90.00
_cell_angle_beta 116.49
_cell_angle_gamma 90.00
loop_
_space_group_symop_operation_xyz
'x,y,z'
'-x,-y,-z'
'-x,y,-z'
'x,-y,z'
'x+1/2,y+1/2,z'
'-x+1/2,-y+1/2,-z'
'-x+1/2,y+1/2,-z'
'x+1/2,-y+1/2,z'
loop_
_atom_site_label
_atom_site_type_symbol
_atom_site_fract_x
_atom_site_fract_y
_atom_site_fract_z
Er1 Er 0.0000 0.0000 0.0000
Er2 Er 0.2220 0.5000 0.7129
P1 P 0.1386 0.5000 0.0036
S1 S 0.1273 0.0000 0.4347
```

Calculated values
**Density**: 5.91 g/cm³
**Total energy**: -6.18 eV/atom
**DOS(E_F)**: 8.21 states/eV per cell
**Raw formation energy**: -1501 meV/atom

=====

Q: DOS(E_F) of number 4 (Er3P2S2)?
A: 8.21 states/eV per cell